Record 1
Density functional theory data (SCAN) for a crystal of Li2As2Ru relaxed with PBEsol.

It has space group P4/mbm (No. 127), with a = 6.2304 Å, b = 6.2304 Å, c = 3.9538 Å, α = 90.00°, β = 90.00° and γ = 90.00°. The asymmetric unit holds Li at (0.1719, 0.3281, 0.0000), As at (0.1393, 0.6393, 0.5000) and Ru at (0.0000, 0.0000, 0.5000).

The formation energy is -0.52 eV/atom. Its magnetization is 0.00 μB per formula unit.


Record 2
Density functional theory data (SCAN) for a crystal of LiAsRu2 relaxed with PBEsol.

It has space group P4/mmm (No. 123), with a = 4.1009 Å, b = 4.1009 Å, c = 2.9845 Å, α = 90.00°, β = 90.00° and γ = 90.00°. The asymmetric unit holds Li at (0.0000, 0.0000, 0.0000), As at (0.5000, 0.5000, 0.0000) and Ru at (0.0000, 0.5000, 0.5000).

The formation energy is -0.12 eV/atom. Its magnetization is 0.00 μB per formula unit.


Record 3
Density functional theory data (SCAN) for a crystal of LiAsRu relaxed with PBEsol.

It has space group F-43m (No. 216), with a = 5.4557 Å, b = 5.4557 Å, c = 5.4557 Å, α = 90.00°, β = 90.00° and γ = 90.00°. The asymmetric unit holds Li at (0.0000, 0.0000, 0.0000), As at (0.2500, 0.2500, 0.2500) and Ru at (0.2500, 0.2500, 0.7500).

The formation energy is 0.28 eV/atom. Its magnetization is 0.02 μB per formula unit.


Record 4
Density functional theory data (SCAN) for a crystal of LiAs2SeS relaxed with PBEsol.

It has space group P4/mmm (No. 123), with a = 4.6058 Å, b = 4.6058 Å, c = 4.2852 Å, α = 90.00°, β = 90.00° and γ = 90.00°. The asymmetric unit holds Li at (0.0000, 0.0000, 0.0000), As at (0.0000, 0.5000, 0.0000), Se at (0.0000, 0.0000, 0.5000) and S at (0.5000, 0.5000, 0.5000).

The calculation puts the formation energy without anion corrections at 0.7321 eV per atom. Its magnetization is 0.00 μB per formula unit.